Cu2Sb3P3: relaxed, PBE-GGA.

```
data_Cu2Sb3P3
_chemical_formula_sum 'Cu4 Sb6 P6'
_space_group_name_H-M_alt 'P 63/m m c'
_space_group_IT_number 194
_space_group_name_Hall '-P 6c 2c'
_cell_length_a 3.9226
_cell_length_b 3.9226
_cell_length_c 23.2891
_cell_angle_alpha 90.00
_cell_angle_beta 90.00
_cell_angle_gamma 120.00
loop_
_atom_site_label
_atom_site_type_symbol
_atom_site_fract_x
_atom_site_fract_y
_atom_site_fract_z
Cu1 Cu 0.0000 0.0000 0.1854
Sb1 Sb 0.3333 0.6667 0.0700
Sb2 Sb 0.3333 0.6667 0.2500
P1 P 0.0000 0.0000 0.0000
P2 P 0.3333 0.6667 0.6455
```

***

Cu2SbP: relaxed, PBE-GGA.

Summary:
Offset from the most stable computed form (meV per atom): 12.4

```
data_Cu2SbP
_chemical_formula_sum 'Cu2 Sb1 P1'
_space_group_name_H-M_alt 'P 1 m 1'
_space_group_IT_number 6
_cell_length_a 4.466
_cell_length_b 4.028
_cell_length_c 4.507
_cell_angle_alpha 90.00
_cell_angle_beta 110.49
_cell_angle_gamma 90.00
loop_
_space_group_symop_operation_xyz
'x,y,z'
'x,-y,z'
loop_
_atom_site_label
_atom_site_type_symbol
_atom_site_fract_x
_atom_site_fract_y
_atom_site_fract_z
Cu1 Cu 0.000 0.000 0.000
Cu2 Cu 0.163 0.500 0.751
Sb1 Sb 0.703 0.000 0.394
P1 P 0.260 0.500 0.289
```

***

| no. | DOS(E_F) (states/eV/f.u.) | uncorrected formation energy (eV/f.u.) |
| --- | --- | --- |
| 1 | 4.018 | 1.223 |
| 2 | 0.436 | 0.478 |